1.
Li3Al2Cd2Au4 after structural relaxation, computed with PBE.

Properties
DFT formation energy = -0.454 eV per atom

Unit cell a=4.5058 b=4.5058 c=11.0880 alpha=90.00 beta=90.00 gamma=120.00
Fractional positions:
Au (0.6667, 0.3333, 0.1459)
Au (0.3333, 0.6667, 0.8541)
Au (0.3333, 0.6667, 0.3168)
Au (0.6667, 0.3333, 0.6832)
Cd (0.6667, 0.3333, 0.4239)
Cd (0.3333, 0.6667, 0.5761)
Li (0.0000, 0.0000, 0.7400)
Li (0.0000, 0.0000, 0.2600)
Li (0.0000, 0.0000, 0.0000)
Al (0.6667, 0.3333, 0.9129)
Al (0.3333, 0.6667, 0.0871)

=====

2.
LiAl2CdAu after structural relaxation, computed with PBE.

Properties
DFT formation energy = 0.159 eV per atom

Unit cell a=4.8626 b=5.3729 c=4.8626 alpha=90.00 beta=90.00 gamma=90.00
Fractional positions:
Li (0.5000, 0.5000, 0.5000)
Cd (0.0000, 0.5000, 0.0000)
Al (0.0000, 0.0000, 0.5000)
Al (0.5000, 0.0000, 0.0000)
Au (0.0000, 0.0000, 0.0000)

=====

Number 2 is which compound? LiAl2CdAu

=====

Please write out number 1 again, unchanged.
Li3Al2Cd2Au4 after structural relaxation, computed with PBE.

Properties
DFT formation energy = -0.454 eV per atom

Unit cell a=4.5058 b=4.5058 c=11.0880 alpha=90.00 beta=90.00 gamma=120.00
Fractional positions:
Au (0.6667, 0.3333, 0.1459)
Au (0.3333, 0.6667, 0.8541)
Au (0.3333, 0.6667, 0.3168)
Au (0.6667, 0.3333, 0.6832)
Cd (0.6667, 0.3333, 0.4239)
Cd (0.3333, 0.6667, 0.5761)
Li (0.0000, 0.0000, 0.7400)
Li (0.0000, 0.0000, 0.2600)
Li (0.0000, 0.0000, 0.0000)
Al (0.6667, 0.3333, 0.9129)
Al (0.3333, 0.6667, 0.0871)